A geometry-optimized KFeAgTeS2 structure. Source: OQMD, functional PBE-GGA.

Cell and atoms, written as CIF:
```
data_KFeAgTeS2
_space_group_name_H-M_alt 'C m c m'
_space_group_IT_number 63
_space_group_name_Hall '-C 2c 2'
_cell_length_a 3.4371
_cell_length_b 16.2367
_cell_length_c 10.7623
_cell_angle_alpha 90.00
_cell_angle_beta 90.00
_cell_angle_gamma 90.00
loop_
_atom_site_label
_atom_site_type_symbol
_atom_site_fract_x
_atom_site_fract_y
_atom_site_fract_z
K1 K 0.0000 0.2311 0.2500
Fe1 Fe 0.0000 0.0000 0.0000
Ag1 Ag 0.0000 0.4424 0.7500
Te1 Te 0.0000 0.0841 0.7500
S1 S 0.0000 0.4054 0.5300
```

Output
Calculated total energy in eV/atom: -4.2194
Total moment in μB/cell: 10.35